A geometry-optimized PdRh4 structure, computed with GGA-PBE.

Summary:
The space group is No. 71. The magnetization is 0.00 μB per formula unit. For the formation energy, the calculation gives 0.0490 eV per atom. As for the total energy: -34.4 eV/cell.

Cell lengths 7.2395, 7.2395, 7.2395 Å; angles 158.22, 149.22, 38.02 degrees
With the nearest neighbours (Å) after each atom.
Fractional coordinates of all 5 atoms:
1 Pd 0.0000 0.0000 0.0000  2 Pd 2.73, 10 Rh 2.74-2.76
2 Rh 0.2013 0.2013 0.0000  11 Rh 2.69-2.73, 1 Pd 2.76
3 Rh 0.3979 0.3979 0.0000  8 Rh 2.69-2.79, 4 Pd 2.74
4 Rh 0.6021 0.6021 0.0000  8 Rh 2.69-2.79, 4 Pd 2.74
5 Rh 0.7987 0.7987 0.0000  11 Rh 2.69-2.73, 1 Pd 2.76